1.
The following is a PBE-GGA calculation of an optimized crystal structure of BaBP2O8, from the Alexandria database.

Properties
* spin magnetization: 0.0 μB/f.u.
* formation energy from raw total energies: -1956 meV/atom
* VASP energy: -82.6 eV for the cell shown
* SG: R-3m, No. 166

Unit cell a=8.0703 b=8.0703 c=8.0703 alpha=35.01 beta=35.01 gamma=35.01
With the nearest neighbours (Å) after each atom.
Element x y z (fractional)
Ba 0.0000 0.0000 0.0000  6 O 2.91
B 0.5000 0.5000 0.5000  6 O 1.67
P 0.2310 0.2310 0.2310  4 O 1.53-1.55
P 0.7690 0.7690 0.7690  4 O 1.53-1.55
O 0.1377 0.6145 0.6145  1 P 1.53, 1 B 1.67
O 0.2991 0.2991 0.2991  1 P 1.55
O 0.3855 0.3855 0.8623  1 P 1.53, 1 B 1.67
O 0.3855 0.8623 0.3855  1 P 1.53, 1 B 1.67
O 0.6145 0.1377 0.6145  1 P 1.53, 1 B 1.67
O 0.6145 0.6145 0.1377  1 P 1.53, 1 B 1.67
O 0.7009 0.7009 0.7009  1 P 1.55
O 0.8623 0.3855 0.3855  1 P 1.53, 1 B 1.67

2.
The following is a PBE-GGA calculation of an optimized crystal structure of Ba3BP3O12, from the Alexandria database.

Properties
* spin magnetization: 0.0 μB/f.u.
* formation energy from raw total energies: -2734 meV/atom
* VASP energy: -560.5 eV for the cell shown
* SG: Ibca, No. 73

Unit cell a=13.8988 b=13.8988 c=13.8988 alpha=150.01 beta=117.24 gamma=71.10
With the nearest neighbours (Å) after each atom.
Element x y z (fractional)
Ba 0.0631 0.8265 0.5376  7 O 2.73-3.05
Ba 0.0693 0.7500 0.8193  8 O 2.68-2.96
Ba 0.2111 0.4746 0.0376  7 O 2.73-3.05
Ba 0.2889 0.3265 0.2634  7 O 2.73-3.05
Ba 0.4307 0.2500 0.6807  8 O 2.68-2.96
Ba 0.4369 0.9746 0.7634  7 O 2.73-3.05
Ba 0.5631 0.0254 0.2366  7 O 2.73-3.05
Ba 0.5693 0.7500 0.3193  8 O 2.68-2.96
Ba 0.7111 0.6735 0.7366  7 O 2.73-3.05
Ba 0.7889 0.5254 0.9624  7 O 2.73-3.05
Ba 0.9307 0.2500 0.1807  8 O 2.68-2.96
Ba 0.9369 0.1735 0.4624  7 O 2.73-3.05
B 0.1671 0.9171 0.2500  4 O 1.46-1.48
B 0.3329 0.5829 0.7500  4 O 1.46-1.48
B 0.6671 0.4171 0.2500  4 O 1.46-1.48
B 0.8329 0.0829 0.7500  4 O 1.46-1.48
P 0.0353 0.3239 0.0406  4 O 1.53-1.62
P 0.1758 0.2500 0.4258  4 O 1.53-1.59
P 0.2167 0.0053 0.5406  4 O 1.53-1.62
P 0.2833 0.8239 0.7886  4 O 1.53-1.62
P 0.3242 0.7500 0.0742  4 O 1.53-1.59
P 0.4647 0.5053 0.2886  4 O 1.53-1.62
P 0.5353 0.4947 0.7114  4 O 1.53-1.62
P 0.6758 0.2500 0.9258  4 O 1.53-1.59
P 0.7167 0.1761 0.2114  4 O 1.53-1.62
P 0.7833 0.9947 0.4594  4 O 1.53-1.62
P 0.8242 0.7500 0.5742  4 O 1.53-1.59
P 0.9647 0.6761 0.9594  4 O 1.53-1.62
O 0.0207 0.5241 0.9050  1 P 1.53
O 0.0476 0.8814 0.1636  1 B 1.46, 1 P 1.62
O 0.0706 0.3931 0.2196  1 P 1.55
O 0.0878 0.3725 0.5166  1 P 1.53
O 0.1191 0.1157 0.5950  1 P 1.53
O 0.1319 0.2645 0.9772  1 P 1.54
O 0.1441 0.1275 0.2153  1 P 1.53
O 0.1736 0.8931 0.8226  1 P 1.55
O 0.2027 0.1247 0.4192  1 B 1.48, 1 P 1.59
O 0.2055 0.7836 0.0808  1 B 1.48, 1 P 1.59
O 0.2127 0.8453 0.4772  1 P 1.54
O 0.2177 0.8840 0.3364  1 B 1.46, 1 P 1.62
O 0.2823 0.6186 0.6663  1 B 1.46, 1 P 1.62
O 0.2873 0.7645 0.6326  1 P 1.54
O 0.2945 0.3753 0.5780  1 B 1.48, 1 P 1.59
O 0.2973 0.7164 0.9220  1 B 1.48, 1 P 1.59
O 0.3264 0.1490 0.7196  1 P 1.55
O 0.3559 0.5711 0.9834  1 P 1.53
O 0.3681 0.3453 0.1326  1 P 1.54
O 0.3809 0.9759 0.9966  1 P 1.53
O 0.4122 0.9289 0.2847  1 P 1.53
O 0.4294 0.6490 0.3226  1 P 1.55
O 0.4524 0.6160 0.8337  1 B 1.46, 1 P 1.62
O 0.4793 0.3843 0.5034  1 P 1.53
O 0.5207 0.6157 0.4966  1 P 1.53
O 0.5476 0.3840 0.1663  1 B 1.46, 1 P 1.62
O 0.5706 0.3510 0.6774  1 P 1.55
O 0.5878 0.0711 0.7153  1 P 1.53
O 0.6191 0.0241 0.0034  1 P 1.53
O 0.6319 0.6547 0.8674  1 P 1.54
O 0.6441 0.4289 0.0166  1 P 1.53
O 0.6736 0.8510 0.2804  1 P 1.55
O 0.7027 0.2836 0.0780  1 B 1.48, 1 P 1.59
O 0.7055 0.6247 0.4220  1 B 1.48, 1 P 1.59
O 0.7127 0.2355 0.3674  1 P 1.54
O 0.7177 0.3814 0.3337  1 B 1.46, 1 P 1.62
O 0.7823 0.1160 0.6636  1 B 1.46, 1 P 1.62
O 0.7873 0.1547 0.5228  1 P 1.54
O 0.7945 0.2164 0.9192  1 B 1.48, 1 P 1.59
O 0.7973 0.8753 0.5808  1 B 1.48, 1 P 1.59
O 0.8264 0.1069 0.1774  1 P 1.55
O 0.8559 0.8725 0.7847  1 P 1.53
O 0.8681 0.7355 0.0228  1 P 1.54
O 0.8809 0.8843 0.4050  1 P 1.53
O 0.9122 0.6275 0.4834  1 P 1.53
O 0.9294 0.6069 0.7804  1 P 1.55
O 0.9524 0.1186 0.8364  1 B 1.46, 1 P 1.62
O 0.9793 0.4759 0.0950  1 P 1.53

3.
The following is a PBE-GGA calculation of an optimized crystal structure of Ba2B6PbO12, from the Alexandria database.

Properties
* spin magnetization: 0.0 μB/f.u.
* formation energy from raw total energies: -2504 meV/atom
* VASP energy: -319.4 eV for the cell shown
* SG: R-3c, No. 167

Unit cell a=13.4504 b=13.4504 c=13.4504 alpha=31.47 beta=31.47 gamma=31.47
With the nearest neighbours (Å) after each atom.
Element x y z (fractional)
Ba 0.1493 0.1493 0.1493  9 O 2.82-3.08
Ba 0.3507 0.3507 0.3507  9 O 2.82-3.08
Ba 0.6493 0.6493 0.6493  9 O 2.82-3.08
Ba 0.8507 0.8507 0.8507  9 O 2.82-3.08
B 0.0007 0.2532 0.8668  3 O 1.34-1.42
B 0.1332 0.9993 0.7468  3 O 1.34-1.42
B 0.2468 0.4993 0.6332  3 O 1.34-1.42
B 0.2532 0.8668 0.0007  3 O 1.34-1.42
B 0.3668 0.7532 0.5007  3 O 1.34-1.42
B 0.4993 0.6332 0.2468  3 O 1.34-1.42
B 0.5007 0.3668 0.7532  3 O 1.34-1.42
B 0.6332 0.2468 0.4993  3 O 1.34-1.42
B 0.7468 0.1332 0.9993  3 O 1.34-1.42
B 0.7532 0.5007 0.3668  3 O 1.34-1.42
B 0.8668 0.0007 0.2532  3 O 1.34-1.42
B 0.9993 0.7468 0.1332  3 O 1.34-1.42
Pb 0.2500 0.2500 0.2500  6 O 2.59
Pb 0.7500 0.7500 0.7500  6 O 2.59
O 0.0329 0.5536 0.3010  1 B 1.34
O 0.0536 0.5329 0.8010  1 B 1.34
O 0.0793 0.8346 0.2102  2 B 1.41-1.42
O 0.1654 0.7898 0.9207  2 B 1.41-1.42
O 0.1990 0.9464 0.4671  1 B 1.34
O 0.2102 0.0793 0.8346  2 B 1.41-1.42
O 0.2898 0.6654 0.4207  2 B 1.41-1.42
O 0.3010 0.0329 0.5536  1 B 1.34
O 0.3346 0.5793 0.7102  2 B 1.41-1.42
O 0.4207 0.2898 0.6654  2 B 1.41-1.42
O 0.4464 0.6990 0.9671  1 B 1.34
O 0.4671 0.1989 0.9464  1 B 1.34
O 0.5329 0.8010 0.0536  1 B 1.34
O 0.5536 0.3010 0.0329  1 B 1.34
O 0.5793 0.7102 0.3346  2 B 1.41-1.42
O 0.6654 0.4207 0.2898  2 B 1.41-1.42
O 0.6990 0.9671 0.4464  1 B 1.34
O 0.7102 0.3346 0.5793  2 B 1.41-1.42
O 0.7898 0.9207 0.1654  2 B 1.41-1.42
O 0.8010 0.0536 0.5329  1 B 1.34
O 0.8346 0.2102 0.0793  2 B 1.41-1.42
O 0.9207 0.1654 0.7898  2 B 1.41-1.42
O 0.9464 0.4671 0.1990  1 B 1.34
O 0.9671 0.4464 0.6990  1 B 1.34